The following is a DFT calculation (PBE) of a geometry-optimized CaSb3Cl structure.

The calculation puts the total energy at -13.56 eV/cell. For the volume, the calculation gives 190.7 Å³ per cell. The excess energy over the best structure of this formula in the dataset is 0.3786 eV/atom. Its uncorrected formation energy is 532 meV per atom.

Unit cell a=5.756 b=5.756 c=5.756 alpha=90.00 beta=90.00 gamma=90.00
Space group Pm-3m (No. 221)
Asymmetric unit:
Ca1 0.000 0.000 0.000 [1 per cell]
Sb1 0.000 0.000 0.500 [3 per cell]
Cl1 0.500 0.500 0.500 [1 per cell]

---

The following is a DFT calculation (PBE) of a geometry-optimized Sm5Zn2Sn5 structure.

The value obtained for the calculated formation energy is -646 meV per atom. The calculation puts the total energy at -107.82 eV/cell. For the volume, the calculation gives 635.6 Å³ per cell.

Unit cell a=16.185 b=4.592 c=11.059 alpha=90.00 beta=129.35 gamma=90.00
Space group C2/m (No. 12)
Asymmetric unit:
Sm1 0.000 0.000 0.000 [2 per cell]
Sm2 0.107 0.000 0.417 [4 per cell]
Sm3 0.191 0.000 0.826 [4 per cell]
Zn1 0.140 0.500 0.237 [4 per cell]
Sn1 0.000 0.500 0.500 [2 per cell]
Sn2 0.064 0.500 0.860 [4 per cell]
Sn3 0.245 0.500 0.680 [4 per cell]

---

The following is a DFT calculation (PBE) of a geometry-optimized KAl2Pd structure.

The value obtained for the calculated formation energy is 188 meV per atom. The calculation puts the total energy at -52.10 eV/cell. For the volume, the calculation gives 315.2 Å³ per cell. The excess energy over the best structure of this formula in the dataset is 0.2432 eV/atom.

Unit cell a=6.806 b=6.806 c=6.806 alpha=90.00 beta=90.00 gamma=90.00
Space group Fm-3m (No. 225)
Asymmetric unit:
K1 0.000 0.000 0.000 [4 per cell]
Al1 0.250 0.250 0.250 [8 per cell]
Pd1 0.000 0.000 0.500 [4 per cell]

---

The following is a DFT calculation (PBE) of a geometry-optimized ZrCoMo structure.

The value obtained for the calculated formation energy is 236 meV per atom. The calculation puts the total energy at -25.78 eV/cell. For the volume, the calculation gives 48.5 Å³ per cell. The excess energy over the best structure of this formula in the dataset is 0.1869 eV/atom.

Unit cell a=4.4943 b=4.4943 c=2.7715 alpha=90.00 beta=90.00 gamma=120.00
Space group P3m1 (No. 156)
Asymmetric unit:
Zr1 0.0000 0.0000 0.0000 [1 per cell]
Co1 0.3333 0.6667 0.3489 [1 per cell]
Mo1 0.6667 0.3333 0.6231 [1 per cell]

---

The following is a DFT calculation (PBE) of a geometry-optimized BaMnZn structure.

The value obtained for the calculated formation energy is 547 meV per atom. The calculation puts the total energy at -42.90 eV/cell. For the volume, the calculation gives 360.6 Å³ per cell.

Unit cell a=7.118 b=7.118 c=7.118 alpha=90.00 beta=90.00 gamma=90.00
Space group F-43m (No. 216)
Asymmetric unit:
Ba1 0.000 0.000 0.000 [4 per cell]
Mn1 0.250 0.250 0.750 [4 per cell]
Zn1 0.000 0.000 0.500 [4 per cell]

---

The following is a DFT calculation (PBE) of a geometry-optimized CdPCl6 structure.

The calculation puts the total energy at -65.63 eV/cell. For the volume, the calculation gives 586.9 Å³ per cell. Its uncorrected formation energy is -559 meV per atom.

Unit cell a=6.3112 b=6.3112 c=17.0144 alpha=90.00 beta=90.00 gamma=120.00
Space group R-3 (No. 148, hexagonal axes)
Asymmetric unit:
Cd1 0.0000 0.0000 0.0000 [3 per cell]
P1 0.0000 0.0000 0.5000 [3 per cell]
Cl1 0.0004 0.2983 0.5775 [18 per cell]

---

The following is a DFT calculation (PBE) of a geometry-optimized SbPNO2 structure.

The calculation puts the total energy at -24.51 eV/cell. For the volume, the calculation gives 79.2 Å³ per cell. Its uncorrected formation energy is 652 meV per atom.

Unit cell a=3.790 b=3.790 c=5.515 alpha=90.00 beta=90.00 gamma=90.00
Space group P4/mmm (No. 123)
Asymmetric unit:
Sb1 0.000 0.000 0.000 [1 per cell]
P1 0.000 0.000 0.500 [1 per cell]
N1 0.500 0.500 0.500 [1 per cell]
O1 0.000 0.500 0.000 [2 per cell]

---

The following is a DFT calculation (PBE) of a geometry-optimized BeCu2Ir structure.

The value obtained for the calculated formation energy is -67 meV per atom. The calculation puts the total energy at -42.10 eV/cell. For the volume, the calculation gives 93.9 Å³ per cell.

Unit cell a=4.051 b=4.051 c=5.718 alpha=90.00 beta=90.00 gamma=90.00
Space group I-4m2 (No. 119)
Asymmetric unit:
Be1 0.000 0.000 0.000 [2 per cell]
Cu1 0.000 0.000 0.500 [2 per cell]
Cu2 0.000 0.500 0.750 [2 per cell]
Ir1 0.000 0.500 0.250 [2 per cell]

---

The following is a DFT calculation (PBE) of a geometry-optimized Rb2BePCl6 structure.

The calculation puts the total energy at -65.59 eV/cell. For the volume, the calculation gives 516.6 Å³ per cell. Its uncorrected formation energy is -1064 meV per atom.

Unit cell a=7.033 b=7.033 c=10.443 alpha=90.00 beta=90.00 gamma=90.00
Space group I4/mmm (No. 139)
Asymmetric unit:
Rb1 0.000 0.500 0.250 [4 per cell]
Be1 0.000 0.000 0.000 [2 per cell]
P1 0.000 0.000 0.500 [2 per cell]
Cl1 0.000 0.000 0.276 [4 per cell]
Cl2 0.219 0.219 0.000 [8 per cell]

---

The following is a DFT calculation (PBE) of a geometry-optimized Ge2PdSe4 structure.

The calculation puts the total energy at -59.23 eV/cell. For the volume, the calculation gives 349.5 Å³ per cell. Its uncorrected formation energy is -179 meV per atom.

Unit cell a=7.230 b=7.230 c=6.686 alpha=90.00 beta=90.00 gamma=90.00
Space group I4/m (No. 87)
Asymmetric unit:
Ge1 0.000 0.500 0.250 [4 per cell]
Pd1 0.000 0.000 0.000 [2 per cell]
Se1 0.179 0.292 0.000 [8 per cell]

---

The following is a DFT calculation (PBE) of a geometry-optimized LiTiBr3 structure.

The calculation puts the total energy at -41.03 eV/cell. For the volume, the calculation gives 286.2 Å³ per cell. The excess energy over the best structure of this formula in the dataset is 0.0000 eV/atom. Its uncorrected formation energy is -1137 meV per atom.

Unit cell a=7.837 b=3.866 c=10.172 alpha=90.00 beta=111.80 gamma=90.00
Space group P2_1/m (No. 11)
Asymmetric unit:
Li1 0.172 0.250 0.019 [2 per cell]
Ti1 0.009 0.250 0.617 [2 per cell]
Br1 0.159 0.750 0.173 [2 per cell]
Br2 0.223 0.250 0.478 [2 per cell]
Br3 0.304 0.250 0.833 [2 per cell]

---

Repeat the ninth record exactly.
The following is a DFT calculation (PBE) of a geometry-optimized Rb2BePCl6 structure.

The calculation puts the total energy at -65.59 eV/cell. For the volume, the calculation gives 516.6 Å³ per cell. Its uncorrected formation energy is -1064 meV per atom.

Unit cell a=7.033 b=7.033 c=10.443 alpha=90.00 beta=90.00 gamma=90.00
Space group I4/mmm (No. 139)
Asymmetric unit:
Rb1 0.000 0.500 0.250 [4 per cell]
Be1 0.000 0.000 0.000 [2 per cell]
P1 0.000 0.000 0.500 [2 per cell]
Cl1 0.000 0.000 0.276 [4 per cell]
Cl2 0.219 0.219 0.000 [8 per cell]

---

Copy entry 10 word for word.
The following is a DFT calculation (PBE) of a geometry-optimized Ge2PdSe4 structure.

The calculation puts the total energy at -59.23 eV/cell. For the volume, the calculation gives 349.5 Å³ per cell. Its uncorrected formation energy is -179 meV per atom.

Unit cell a=7.230 b=7.230 c=6.686 alpha=90.00 beta=90.00 gamma=90.00
Space group I4/m (No. 87)
Asymmetric unit:
Ge1 0.000 0.500 0.250 [4 per cell]
Pd1 0.000 0.000 0.000 [2 per cell]
Se1 0.179 0.292 0.000 [8 per cell]